PBE K2TcHgF6, optimized geometry; E = -4.49 eV/atom
1.0
3.500 -4.309 3.107
0.917 0.569 6.270
-2.794 -4.077 4.006
F Hg K Tc
6 1 2 1
Direct
0.717 0.283 0.283
0.283 0.717 0.283
0.717 0.717 0.283
0.283 0.283 0.717
0.717 0.283 0.717
0.283 0.717 0.717
0.000 0.000 0.000
0.250 0.250 0.250
0.750 0.750 0.750
0.500 0.500 0.500

=====

PBE Hf2ZrNi3As4Pd, optimized geometry; E = -7.03 eV/atom; excess energy over the best structure of this formula in the dataset = 0.26 kcal/mol of atoms
1.0
6.440 0.000 0.000
0.000 3.840 0.000
-0.110 0.000 7.458
As Hf Ni Pd Zr
4 2 3 1 1
Direct
0.253 0.000 0.129
0.764 0.000 0.381
0.226 0.500 0.619
0.776 0.500 0.872
0.469 0.500 0.318
0.530 0.000 0.688
0.641 0.000 0.063
0.147 0.000 0.445
0.849 0.500 0.561
0.374 0.500 0.935
0.969 0.500 0.185

=====

PBE Li4CdIn2Pd, optimized geometry; E = -2.79 eV/atom
1.0
4.586 0.000 0.000
0.000 4.586 0.000
0.000 0.000 6.599
Cd In Li Pd
1 2 4 1
Direct
0.000 0.000 0.000
0.000 0.500 0.270
0.500 0.000 0.730
0.500 0.500 0.000
0.500 0.000 0.266
0.000 0.000 0.500
0.000 0.500 0.734
0.500 0.500 0.500

=====

PBE KScMo, optimized geometry; E = -3.85 eV/atom; excess energy over the best structure of this formula in the dataset = 10.28 kcal/mol of atoms
1.0
0.000 3.536 3.536
3.536 0.000 3.536
3.536 3.536 0.000
K Mo Sc
1 1 1
Direct
0.000 0.000 0.000
0.250 0.250 0.250
0.750 0.750 0.750

=====

PBE NaBAsIr, optimized geometry; E = -4.37 eV/atom; excess energy over the best structure of this formula in the dataset = 11.47 kcal/mol of atoms
1.0
-3.872 -1.799 0.600
-2.530 1.353 3.219
-3.578 2.245 -0.868
As B Ir Na
1 1 1 1
Direct
0.500 0.500 0.500
0.250 0.250 0.250
0.000 0.000 0.000
0.750 0.750 0.750

=====

PBE K3Co, optimized geometry; E = -1.79 eV/atom; excess energy over the best structure of this formula in the dataset = 0.00 kcal/mol of atoms
1.0
-5.481 -3.136 0.350
-5.288 3.050 1.650
-4.520 1.044 -4.298
Co K
1 3
Direct
0.750 0.750 0.750
0.000 0.000 0.000
0.250 0.250 0.250
0.500 0.500 0.500

=====

PBE K2Au, optimized geometry; E = -2.04 eV/atom
1.0
2.252 -7.781 -1.468
-0.331 -4.669 6.772
-4.341 4.582 -5.285
Au K
2 4
Direct
0.107 0.107 0.000
0.893 0.893 0.000
0.764 0.500 0.264
0.719 0.219 0.500
0.281 0.781 0.500
0.236 0.500 0.736

=====

PBE CsNd2CuTe4, optimized geometry; E = -4.51 eV/atom
1.0
2.262 -7.981 0.000
2.262 7.981 0.000
0.000 0.000 15.744
Cs Cu Nd Te
2 2 4 8
Direct
0.393 0.607 0.250
0.607 0.393 0.750
0.663 0.337 0.250
0.337 0.663 0.750
0.134 0.866 0.062
0.134 0.866 0.438
0.866 0.134 0.562
0.866 0.134 0.938
0.500 0.500 0.000
0.761 0.239 0.113
0.074 0.926 0.250
0.761 0.239 0.387
0.500 0.500 0.500
0.239 0.761 0.613
0.926 0.074 0.750
0.239 0.761 0.887

=====

PBE HfAl2Re2, optimized geometry; E = -8.36 eV/atom; excess energy over the best structure of this formula in the dataset = 0.00 kcal/mol of atoms
1.0
-1.907 1.907 5.834
1.907 -1.907 5.834
1.907 1.907 -5.834
Al Hf Re
2 1 2
Direct
0.397 0.397 0.000
0.603 0.603 0.000
0.000 0.000 0.000
0.750 0.250 0.500
0.250 0.750 0.500

=====

PBE NiSe4S, optimized geometry; E = -3.69 eV/atom
1.0
4.069 -4.395 0.000
4.069 4.395 0.000
0.000 0.000 3.795
Ni S Se
1 1 4
Direct
0.500 0.500 0.000
0.000 0.000 0.500
0.207 0.207 0.000
0.793 0.793 0.000
0.659 0.341 0.500
0.341 0.659 0.500

=====

PBE AcNdNO, optimized geometry; E = -7.14 eV/atom; excess energy over the best structure of this formula in the dataset = 7.55 kcal/mol of atoms
1.0
-2.864 3.407 0.345
-0.002 -0.452 4.441
6.928 5.728 0.558
Ac N Nd O
2 2 2 2
Direct
0.250 0.250 0.124
0.749 0.749 0.875
0.749 0.749 0.385
0.252 0.252 0.617
0.751 0.250 0.500
0.250 0.751 0.500
0.750 0.249 0.999
0.249 0.750 0.999

=====

PBE HfTcNi, optimized geometry; E = -7.97 eV/atom; excess energy over the best structure of this formula in the dataset = 11.04 kcal/mol of atoms; ΔE_f = 0.661 eV per atom
1.0
-1.765 1.624 3.502
-3.847 1.783 -0.194
-3.328 -1.932 1.791
Hf Ni Tc
1 1 1
Direct
0.000 0.000 0.000
0.250 0.250 0.250
0.750 0.750 0.750

=====

PBE PrYAg2Sn2, optimized geometry; E = -4.77 eV/atom
1.0
-3.457 -0.699 -3.215
4.578 -0.251 -1.326
0.046 -7.349 1.548
Ag Pr Sn Y
2 1 2 1
Direct
0.667 0.333 0.468
0.333 0.667 0.945
0.000 0.000 0.257
0.667 0.333 0.031
0.333 0.667 0.542
0.000 0.000 0.758

=====

PBE AsIrPdO, optimized geometry; E = -5.83 eV/atom; excess energy over the best structure of this formula in the dataset = 6.59 kcal/mol of atoms
1.0
4.151 0.000 0.000
0.000 4.151 0.000
0.000 0.000 6.363
As Ir O Pd
2 2 2 2
Direct
0.000 0.500 0.271
0.500 0.000 0.729
0.500 0.000 0.118
0.000 0.500 0.882
0.000 0.000 0.000
0.500 0.500 0.000
0.000 0.000 0.500
0.500 0.500 0.500

=====

PBE Tb2HoTl3, optimized geometry; E = -3.83 eV/atom
1.0
-0.830 -1.236 -3.332
1.262 -3.302 0.910
-11.105 -3.161 3.940
Ho Tb Tl
1 2 3
Direct
0.500 0.500 0.500
0.500 0.500 0.167
0.500 0.500 0.833
0.000 0.000 0.000
0.000 0.000 0.335
0.000 0.000 0.665

=====

PBE B2W3N10, optimized geometry; E = -9.05 eV/atom
1.0
5.297 0.000 0.000
1.991 5.466 0.000
1.165 0.676 5.674
B N W
2 10 3
Direct
0.101 0.114 0.473
0.899 0.886 0.527
0.721 0.313 0.086
0.731 0.819 0.103
0.133 0.904 0.346
0.234 0.289 0.405
0.363 0.395 0.474
0.637 0.605 0.526
0.766 0.711 0.595
0.867 0.096 0.654
0.269 0.181 0.897
0.279 0.687 0.914
0.000 0.000 0.000
0.499 0.639 0.183
0.501 0.361 0.817

=====

PBE AlCuW, optimized geometry; E = -5.81 eV/atom; excess energy over the best structure of this formula in the dataset = 8.33 kcal/mol of atoms
1.0
0.000 2.980 2.980
2.980 0.000 2.980
2.980 2.980 0.000
Al Cu W
1 1 1
Direct
0.250 0.250 0.250
0.750 0.750 0.750
0.000 0.000 0.000

=====

PBE LiScTlCd, optimized geometry; E = -3.15 eV/atom; excess energy over the best structure of this formula in the dataset = 0.00 kcal/mol of atoms
1.0
0.000 3.468 3.468
3.468 0.000 3.468
3.468 3.468 0.000
Cd Li Sc Tl
1 1 1 1
Direct
0.000 0.000 0.000
0.750 0.750 0.750
0.250 0.250 0.250
0.500 0.500 0.500

=====

PBE DyReNO, optimized geometry; E = -9.13 eV/atom; excess energy over the best structure of this formula in the dataset = 0.00 kcal/mol of atoms
1.0
-0.092 4.046 3.661
-8.310 -1.470 1.416
1.135 -3.095 3.449
Dy N O Re
4 4 4 4
Direct
0.978 0.345 0.425
0.478 0.655 0.425
0.522 0.345 0.925
0.022 0.655 0.925
0.386 0.152 0.238
0.886 0.848 0.238
0.114 0.152 0.738
0.614 0.848 0.738
0.597 0.413 0.467
0.097 0.587 0.467
0.903 0.413 0.967
0.403 0.587 0.967
0.121 0.012 0.073
0.621 0.988 0.073
0.379 0.012 0.573
0.879 0.988 0.573

=====

PBE DyScAsO, optimized geometry; E = -6.75 eV/atom; excess energy over the best structure of this formula in the dataset = 11.23 kcal/mol of atoms
1.0
-2.498 -3.471 0.159
2.603 -1.739 2.917
-4.492 3.513 6.104
As Dy O Sc
2 2 2 2
Direct
0.000 0.500 0.282
0.500 0.000 0.718
0.000 0.000 0.500
0.500 0.500 0.500
0.000 0.000 0.000
0.500 0.500 0.000
0.500 0.000 0.074
0.000 0.500 0.926